No. 1
First-principles (PBE+U) data for a geometry-optimized Li4Nb2Fe3O10 structure, as listed in the Alexandria database.

Output
Its total energy is -7.015 eV/atom. The density of states at the Fermi level is 0.00 states/eV per atom. As for the density: 4.289 g/cm³.

Lattice parameters (Å, degrees): 5.3347 5.4384 8.1195 100.55 109.03 102.13
With the nearest neighbours (Å) after each atom.
Space group P-1 (No. 2)
Asymmetric unit:
1 Li 0.1536 0.2448 0.1140  5 O 2.03-2.24
2 Li 0.3378 0.8760 0.2623  4 O 2.00-2.21
3 Nb 0.2494 0.4108 0.8084  6 O 1.95-2.15
4 Fe 0.1007 0.8279 0.6191  5 O 2.04-2.18
5 Fe 0.5000 0.5000 0.5000  6 O 2.11-2.21
6 O 0.0535 0.0873 0.8381  1 Nb 1.95, 3 Li 2.05-2.09, 1 Fe 2.18
7 O 0.0932 0.5196 0.3231  1 Nb 1.95, 1 Fe 2.16
8 O 0.2843 0.1881 0.5807  1 Nb 2.10, 3 Fe 2.12-2.17, 1 Li 2.14
9 O 0.3391 0.6116 0.0555  2 Nb 1.95-2.15, 1 Li 2.00
10 O 0.4519 0.7210 0.7246  2 Li 2.03-2.21, 2 Fe 2.04-2.11, 1 Nb 2.15

=====

No. 2
First-principles (PBE+U) data for a geometry-optimized Li4NbFe5O12 structure, as listed in the Alexandria database.

Output
Its total energy is -6.384 eV/atom. As for the density: 4.067 g/cm³.

Lattice parameters (Å, degrees): 5.1508 9.0026 10.5121 90.00 97.49 90.00
With the nearest neighbours (Å) after each atom.
Space group C2/m (No. 12)
Asymmetric unit:
1 Li 0.2130 0.1690 0.2112  4 O 1.97-2.05
2 Nb 0.0000 0.5000 0.5000  6 O 2.01-2.04
3 Fe 0.0000 0.0000 0.0000  6 O 1.93-2.11
4 Fe 0.0000 0.1658 0.5000  6 O 1.97-2.00
5 Fe 0.0000 0.3358 0.0000  6 O 2.02-2.08
6 O 0.1351 0.1745 0.8919  2 Li 1.97-2.00, 3 Fe 2.02-2.11
7 O 0.1618 0.5000 0.8961  3 Fe 1.93-2.08, 2 Li 2.05
8 O 0.1852 0.0000 0.5944  2 Fe 1.97, 1 Nb 2.01
9 O 0.1960 0.3304 0.5982  2 Fe 1.99-2.00, 1 Li 2.00, 1 Nb 2.04

=====

No. 3
First-principles (PBE+U) data for a geometry-optimized Li2NbFe3O8 structure, as listed in the Alexandria database.

Output
Its total energy is -6.915 eV/atom. Its excess energy over the best structure of this formula in the dataset is 2.6 kJ/mol of atoms. As for the density: 4.211 g/cm³.

Lattice parameters (Å, degrees): 6.0398 6.0398 15.0659 90.00 90.00 120.00
With the nearest neighbours (Å) after each atom.
Space group R-3m (No. 166, hexagonal axes)
Asymmetric unit:
1 Li 0.0000 0.0000 0.1301  4 O 2.03-2.05
2 Nb 0.0000 0.0000 0.5000  6 O 2.03
3 Fe 0.0000 0.5000 0.0000  6 O 2.02-2.08
4 O 0.0000 0.0000 0.2661  3 Fe 2.02, 1 Li 2.05
5 O 0.0306 0.5153 0.2506  1 Nb 2.03, 1 Li 2.03, 2 Fe 2.08

=====

No. 4
First-principles (PBE+U) data for a geometry-optimized Li8NbFe3O12 structure, as listed in the Alexandria database.

Output
Its total energy is -6.035 eV/atom. The density of states at the Fermi level is 0.17 states/eV per atom. As for the density: 3.972 g/cm³.

Lattice parameters (Å, degrees): 5.0164 5.6661 7.5906 79.82 89.25 89.73
With the nearest neighbours (Å) after each atom.
Space group P-1 (No. 2)
Asymmetric unit:
1 Li 0.0011 0.3557 0.1816  6 O 2.03-2.17, 1 Li 2.19
2 Li 0.0035 0.3526 0.6631  6 O 2.04-2.16, 1 Li 2.19
3 Li 0.4962 0.8393 0.1812  6 O 2.03-2.13, 1 Li 2.26
4 Li 0.4964 0.8478 0.6713  6 O 2.06-2.16, 1 Li 2.26
5 Nb 0.0000 0.0000 0.0000  6 O 2.02
6 Fe 0.0000 0.0000 0.5000  6 O 1.95-2.04
7 Fe 0.5000 0.5000 0.0000  6 O 2.04-2.11
8 Fe 0.5000 0.5000 0.5000  6 O 1.95-2.10
9 O 0.1450 0.0001 0.7498  1 Nb 2.02, 1 Fe 2.04, 4 Li 2.08-2.13
10 O 0.1729 0.6755 0.0735  1 Nb 2.02, 1 Fe 2.04, 4 Li 2.04-2.17
11 O 0.1750 0.3098 0.4259  2 Fe 1.95-2.10, 4 Li 2.03-2.11
12 O 0.3212 0.8136 0.4276  2 Fe 1.98-2.04, 4 Li 2.04-2.14
13 O 0.3228 0.1726 0.0700  1 Nb 2.02, 1 Fe 2.04, 4 Li 2.11-2.16
14 O 0.3589 0.4971 0.7403  2 Fe 1.95-2.11, 4 Li 2.03-2.11

=====

No. 5
First-principles (PBE+U) data for a geometry-optimized Li7Nb2Fe3O16 structure, as listed in the Alexandria database.

Output
Its total energy is -6.318 eV/atom. The density of states at the Fermi level is 0.34 states/eV per atom. As for the density: 3.716 g/cm³.

Lattice parameters (Å, degrees): 5.8665 5.9290 9.6852 90.60 90.90 119.17
With the nearest neighbours (Å) after each atom.
Space group P1 (No. 1)
Asymmetric unit:
1 Li 0.0000 0.0000 0.0000  4 O 1.90-2.09
2 Li 0.0030 0.4829 0.1917  5 O 2.00-2.16
3 Li 0.3540 0.6774 0.4963  4 O 1.95-2.08
4 Li 0.4842 0.4780 0.1884  4 O 1.98-2.14
5 Li 0.6564 0.3089 0.4005  4 O 1.86-1.96
6 Li 0.6678 0.3200 0.9082  4 O 1.84-1.98
7 Li 0.8325 0.6638 0.6852  6 O 2.05-2.15
8 Nb 0.3127 0.6120 0.9139  3 O 1.84-1.97
9 Nb 0.9955 0.9791 0.3979  3 O 1.82-1.97
10 Fe 0.3281 0.1460 0.6813  5 O 1.84-1.93
11 Fe 0.4882 0.9676 0.1807  5 O 1.80-1.99
12 Fe 0.8376 0.1580 0.6820  4 O 1.85-1.97
13 O 0.0199 0.0190 0.7848  2 Fe 1.89-1.91, 2 Li 2.06-2.09
14 O 0.1719 0.8663 0.5611  1 Fe 1.84, 1 Li 1.99
15 O 0.1742 0.3589 0.0437  1 Nb 1.84, 1 Li 1.90
16 O 0.1752 0.2976 0.5616  2 Fe 1.93-2.11, 1 Li 2.08
17 O 0.2071 0.8344 0.0556  1 Fe 1.86, 1 Li 1.97
18 O 0.3251 0.1291 0.3027  2 Li 1.93-2.14, 1 Nb 1.94, 1 Fe 2.03
19 O 0.3521 0.6869 0.2872  1 Fe 1.80, 2 Li 2.00
20 O 0.4871 0.9986 0.7953  2 Fe 1.91-2.13, 1 Li 1.98
21 O 0.4922 0.4785 0.8041  1 Nb 1.92, 2 Li 1.97-2.12, 1 Fe 2.07
22 O 0.6291 0.8248 0.0523  1 Fe 1.91, 1 Li 1.98, 1 Nb 2.11
23 O 0.6360 0.2833 0.0961  2 Li 1.84-1.98, 1 Fe 1.84
24 O 0.6503 0.3044 0.5924  2 Li 1.86-2.05, 2 Fe 1.88-1.91
25 O 0.7180 0.8833 0.5574  1 Fe 1.85, 1 Li 1.95
26 O 0.8121 0.1331 0.2976  2 Li 1.96-2.10, 1 Nb 1.97, 1 Fe 1.99
27 O 0.8354 0.6485 0.3292  1 Nb 1.82, 1 Li 1.90
28 O 0.9903 0.4733 0.7998  1 Nb 1.97, 1 Fe 1.97, 2 Li 1.98-2.09

=====

No. 6
First-principles (PBE+U) data for a geometry-optimized Li2NbFe3O8 structure, as listed in the Alexandria database.

Output
Its total energy is -6.941 eV/atom. The density of states at the Fermi level is 0.00 states/eV per atom. Its excess energy over the best structure of this formula in the dataset is 0.0 kJ/mol of atoms. As for the density: 4.387 g/cm³.

Lattice parameters (Å, degrees): 6.0048 6.0048 9.7544 90.00 90.00 120.00
With the nearest neighbours (Å) after each atom.
Space group P6_3mc (No. 186)
Asymmetric unit:
1 Li 0.0000 0.0000 0.0000  4 O 1.82-2.00
2 Li 0.3333 0.6667 0.4125  4 O 1.99-2.01
3 Nb 0.3333 0.6667 0.0031  6 O 1.97-2.12
4 Fe 0.1712 0.3424 0.7260  6 O 1.97-2.14
5 O 0.0000 0.0000 0.3133  1 Li 1.82, 3 Fe 1.97
6 O 0.0376 0.5188 0.8531  1 Li 2.01, 2 Fe 2.04, 1 Nb 2.12
7 O 0.1677 0.3354 0.1011  1 Nb 1.97, 1 Li 2.00, 2 Fe 2.14
8 O 0.3333 0.6667 0.6168  1 Li 1.99, 3 Fe 1.99